# La3CdIr, relaxed, DFT PBE
data_La3CdIr
_space_group_name_H-M_alt 'P -1'
_space_group_IT_number 2
_cell_length_a 6.405
_cell_length_b 6.685
_cell_length_c 7.268
_cell_angle_alpha 80.77
_cell_angle_beta 76.47
_cell_angle_gamma 87.18
loop_
_space_group_symop_operation_xyz
'x,y,z'
'-x,-y,-z'
loop_
_atom_site_label
_atom_site_fract_x
_atom_site_fract_y
_atom_site_fract_z
La1 0.144 0.179 0.050
La2 0.261 0.148 0.533
La3 0.310 0.657 0.193
Cd1 0.264 0.607 0.684
Ir1 0.459 0.929 0.820
# Calculated total energy = -53.7 eV per cell
# N(E_F) = 8.31 states/eV per cell
# Total magnetic moment = 0.0 μB per cell

***

# TmNb2Ru3, relaxed, DFT PBE
data_TmNb2Ru3
_space_group_name_H-M_alt 'P 4/m m m'
_space_group_IT_number 123
_space_group_name_Hall '-P 4 2'
_cell_length_a 3.213
_cell_length_b 3.213
_cell_length_c 9.881
_cell_angle_alpha 90.00
_cell_angle_beta 90.00
_cell_angle_gamma 90.00
loop_
_atom_site_label
_atom_site_fract_x
_atom_site_fract_y
_atom_site_fract_z
Tm1 0.000 0.000 0.000
Nb1 0.000 0.000 0.339
Ru1 0.500 0.500 0.188
Ru2 0.500 0.500 0.500
# Calculated total energy = -54.5 eV per cell
# N(E_F) = 4.21 states/eV per cell
# Total magnetic moment = 0.0 μB per cell

***

# K2Zn2Te, relaxed, DFT PBE
data_K2Zn2Te
_space_group_name_H-M_alt 'P 4/m b m'
_space_group_IT_number 127
_space_group_name_Hall '-P 4 2ab'
_cell_length_a 7.940
_cell_length_b 7.940
_cell_length_c 5.091
_cell_angle_alpha 90.00
_cell_angle_beta 90.00
_cell_angle_gamma 90.00
loop_
_atom_site_label
_atom_site_fract_x
_atom_site_fract_y
_atom_site_fract_z
K1 0.190 0.310 0.000
Zn1 0.114 0.614 0.500
Te1 0.000 0.000 0.500
# Calculated total energy = -17.9 eV per cell
# N(E_F) = 4.29 states/eV per cell
# Formation energy (no corrections) = -5.02 kcal/mol of atoms
# Total magnetic moment = 0.0 μB per cell

***

# NaCa4F10, relaxed, DFT PBE
data_NaCa4F10
_space_group_name_H-M_alt 'R -3 m'
_space_group_IT_number 166
_space_group_name_Hall '-R 3 2"'
_cell_length_a 3.9074
_cell_length_b 3.9074
_cell_length_c 47.5252
_cell_angle_alpha 90.00
_cell_angle_beta 90.00
_cell_angle_gamma 120.00
loop_
_atom_site_label
_atom_site_fract_x
_atom_site_fract_y
_atom_site_fract_z
Na1 0.0000 0.0000 0.0000
Ca1 0.0000 0.0000 0.1999
Ca2 0.0000 0.0000 0.3996
F1 0.0000 0.0000 0.0511
F2 0.0000 0.0000 0.1499
F3 0.0000 0.0000 0.2501
F4 0.0000 0.0000 0.3502
F5 0.0000 0.0000 0.4498
# Calculated total energy = -241.2 eV per cell
# N(E_F) = 38.59 states/eV per cell
# Formation energy (no corrections) = -80.50 kcal/mol of atoms
# Total magnetic moment = 3.3 μB per cell

***

# PuScTe2, relaxed, DFT PBE
data_PuScTe2
_space_group_name_H-M_alt 'P 4/m m m'
_space_group_IT_number 123
_space_group_name_Hall '-P 4 2'
_cell_length_a 3.704
_cell_length_b 3.704
_cell_length_c 7.490
_cell_angle_alpha 90.00
_cell_angle_beta 90.00
_cell_angle_gamma 90.00
loop_
_atom_site_label
_atom_site_fract_x
_atom_site_fract_y
_atom_site_fract_z
Pu1 0.000 0.000 0.000
Sc1 0.000 0.000 0.500
Te1 0.500 0.500 0.263
# Calculated total energy = -30.7 eV per cell
# N(E_F) = 6.96 states/eV per cell
# Formation energy (no corrections) = -21.67 kcal/mol of atoms
# Total magnetic moment = 6.7 μB per cell

***

# InPd12Au6, relaxed, DFT PBE
data_InPd12Au6
_space_group_name_H-M_alt 'R -3'
_space_group_IT_number 148
_space_group_name_Hall '-R 3'
_cell_length_a 10.9744
_cell_length_b 10.9744
_cell_length_c 9.3372
_cell_angle_alpha 90.00
_cell_angle_beta 90.00
_cell_angle_gamma 120.00
loop_
_atom_site_label
_atom_site_fract_x
_atom_site_fract_y
_atom_site_fract_z
In1 0.0000 0.0000 0.0000
Pd1 0.0004 0.2589 0.0002
Pd2 0.0642 0.5316 0.1215
Au1 0.0859 0.1729 0.7445
# Calculated total energy = -255.2 eV per cell
# N(E_F) = 77.40 states/eV per cell
# Total magnetic moment = 0.0 μB per cell

***

# SrCuIr, relaxed, DFT PBE
data_SrCuIr
_space_group_name_H-M_alt 'F -4 3 m'
_space_group_IT_number 216
_space_group_name_Hall 'F -4 2 3'
_cell_length_a 6.659
_cell_length_b 6.659
_cell_length_c 6.659
_cell_angle_alpha 90.00
_cell_angle_beta 90.00
_cell_angle_gamma 90.00
loop_
_atom_site_label
_atom_site_fract_x
_atom_site_fract_y
_atom_site_fract_z
Sr1 0.000 0.000 0.000
Cu1 0.250 0.250 0.250
Ir1 0.250 0.250 0.750
# Calculated total energy = -45.3 eV per cell
# N(E_F) = 32.43 states/eV per cell
# Total magnetic moment = 0.3 μB per cell

***

# Ca3P2O8, relaxed, DFT PBE
data_Ca3P2O8
_space_group_name_H-M_alt 'R 3'
_space_group_IT_number 146
_space_group_name_Hall 'R 3'
_cell_length_a 10.5453
_cell_length_b 10.5453
_cell_length_c 37.6991
_cell_angle_alpha 90.00
_cell_angle_beta 90.00
_cell_angle_gamma 120.00
loop_
_atom_site_label
_atom_site_fract_x
_atom_site_fract_y
_atom_site_fract_z
Ca1 0.0000 0.0000 0.0000
Ca2 0.0000 0.0000 0.3122
Ca3 0.0000 0.0000 0.5004
Ca4 0.0476 0.5387 0.1022
Ca5 0.0542 0.5097 0.6002
Ca6 0.1755 0.7899 0.8385
Ca7 0.1906 0.3924 0.2353
Ca8 0.1920 0.8014 0.7347
Ca9 0.1931 0.4078 0.3422
P1 0.0000 0.0000 0.2358
P2 0.0000 0.0000 0.7329
P3 0.0138 0.5283 0.3015
P4 0.0147 0.4870 0.8012
P5 0.1575 0.8054 0.5335
P6 0.1617 0.3651 0.0332
O1 0.0000 0.0000 0.1954
O2 0.0000 0.0000 0.6912
O3 0.0017 0.1382 0.2520
O4 0.0070 0.7298 0.8875
O5 0.0098 0.2836 0.3872
O6 0.0275 0.7865 0.1162
O7 0.0278 0.2407 0.6176
O8 0.0373 0.5304 0.3421
O9 0.0419 0.5110 0.8417
O10 0.0695 0.6888 0.2898
O11 0.0711 0.3836 0.7887
O12 0.0885 0.9045 0.5417
O13 0.0972 0.1955 0.0367
O14 0.1081 0.4262 0.5465
O15 0.1224 0.6797 0.0468
O16 0.1442 0.1384 0.7448
O17 0.1445 0.7632 0.4940
O18 0.1623 0.4184 0.9941
O19 0.1822 0.0788 0.4585
O20 0.1816 0.1028 0.9580
# Calculated total energy = -1976.1 eV per cell
# N(E_F) = 0.00 states/eV per cell
# Formation energy (no corrections) = -66.72 kcal/mol of atoms
# Total magnetic moment = 0.0 μB per cell

***

# U3Ge4Rh4, relaxed, DFT PBE
data_U3Ge4Rh4
_space_group_name_H-M_alt 'A m m 2'
_space_group_IT_number 38
_cell_length_a 8.270
_cell_length_b 4.116
_cell_length_c 11.897
_cell_angle_alpha 90.00
_cell_angle_beta 90.00
_cell_angle_gamma 90.00
loop_
_space_group_symop_operation_xyz
'x,y,z'
'-x,-y,z'
'-x,y,z'
'x,-y,z'
'x,y+1/2,z+1/2'
'-x,-y+1/2,z+1/2'
'-x,y+1/2,z+1/2'
'x,-y+1/2,z+1/2'
loop_
_atom_site_label
_atom_site_fract_x
_atom_site_fract_y
_atom_site_fract_z
U1 0.000 0.000 0.000
U2 0.242 0.000 0.138
Ge1 0.000 0.000 0.698
Ge2 0.272 0.000 0.451
Ge3 0.500 0.000 0.680
Rh1 0.000 0.000 0.331
Rh2 0.253 0.000 0.822
Rh3 0.500 0.000 0.302
# Calculated total energy = -174.1 eV per cell
# N(E_F) = 26.95 states/eV per cell
# Total magnetic moment = 7.6 μB per cell

***

# LaHo5In6, relaxed, DFT PBE
data_LaHo5In6
_space_group_name_H-M_alt 'I m m m'
_space_group_IT_number 71
_space_group_name_Hall '-I 2 2'
_cell_length_a 5.364
_cell_length_b 7.493
_cell_length_c 16.118
_cell_angle_alpha 90.00
_cell_angle_beta 90.00
_cell_angle_gamma 90.00
loop_
_atom_site_label
_atom_site_fract_x
_atom_site_fract_y
_atom_site_fract_z
La1 0.000 0.000 0.000
Ho1 0.000 0.000 0.331
Ho2 0.000 0.500 0.000
Ho3 0.000 0.500 0.339
In1 0.000 0.233 0.500
In2 0.000 0.258 0.171
# Calculated total energy = -99.5 eV per cell
# N(E_F) = 12.99 states/eV per cell
# Total magnetic moment = 0.0 μB per cell

***

# Dy4As3S, relaxed, DFT PBE
data_Dy4As3S
_space_group_name_H-M_alt 'I 4/m m m'
_space_group_IT_number 139
_space_group_name_Hall '-I 4 2'
_cell_length_a 5.759
_cell_length_b 5.759
_cell_length_c 11.500
_cell_angle_alpha 90.00
_cell_angle_beta 90.00
_cell_angle_gamma 90.00
loop_
_atom_site_label
_atom_site_fract_x
_atom_site_fract_y
_atom_site_fract_z
Dy1 0.000 0.000 0.250
Dy2 0.000 0.500 0.000
As1 0.000 0.000 0.000
As2 0.000 0.500 0.250
S1 0.000 0.000 0.500
# Calculated total energy = -99.9 eV per cell
# N(E_F) = 4.25 states/eV per cell
# Formation energy (no corrections) = -38.84 kcal/mol of atoms
# Total magnetic moment = 0.0 μB per cell

***

# CeHo2Pb, relaxed, DFT PBE
data_CeHo2Pb
_space_group_name_H-M_alt 'R -3 m'
_space_group_IT_number 166
_space_group_name_Hall '-R 3 2"'
_cell_length_a 3.4929
_cell_length_b 3.4929
_cell_length_c 35.7667
_cell_angle_alpha 90.00
_cell_angle_beta 90.00
_cell_angle_gamma 120.00
loop_
_atom_site_label
_atom_site_fract_x
_atom_site_fract_y
_atom_site_fract_z
Ce1 0.0000 0.0000 0.0000
Ho1 0.0000 0.0000 0.4112
Pb1 0.0000 0.0000 0.5000
# Calculated total energy = -55.6 eV per cell
# N(E_F) = 15.09 states/eV per cell
# Total magnetic moment = 1.6 μB per cell